Sr2LiH6Pt | the Open Quantum Materials Database | PBE | relaxed; SG = No. 225; offset from the most stable computed form = 0.0000 eV/atom; V = 11.4 A^3/atom; total magnetic moment = 0.002 Bohr magnetons per cell; crystal system = cubic; E = -35.91 eV per formula unit
1.0
0.000 3.848 3.848
3.848 0.000 3.848
3.848 3.848 0.000
Sr Li H Pt
2 1 6 1
Cartesian
1.924 1.924 1.924
5.772 5.772 5.772
0.000 0.000 0.000
3.848 3.848 2.010
3.848 2.010 3.848
5.686 3.848 3.848
2.010 3.848 3.848
3.848 5.686 3.848
3.848 3.848 5.686
3.848 3.848 3.848